PaMnCo2: relaxed, PBE-GGA.

abc: 3.3276 3.3276 5.3780
angles: 90.00 90.00 90.00
Closest atoms and distances in Å follow each position.
Atoms (fractional coordinates):
Co1 0.0000 0.0000 0.2408  2 Co 2.59-2.79, 4 Mn 2.69, 4 Pa 2.73
Co2 0.0000 0.0000 0.7592  2 Co 2.59-2.79, 4 Mn 2.69, 4 Pa 2.73
Pa1 0.5000 0.5000 0.5000  2 Mn 2.69, 8 Co 2.73
Mn1 0.5000 0.5000 0.0000  8 Co 2.69, 2 Pa 2.69

formation energy from the elements: 0.014 eV per atom
magnetization: 3.78 μB/cell



Ho2AlRu: relaxed, PBE-GGA.

abc: 3.4009 3.4009 10.3209
angles: 80.52 80.52 60.00
Closest atoms and distances in Å follow each position.
Atoms (fractional coordinates):
Al1 0.0000 0.0000 0.0000  2 Ho 3.11, 6 Al 3.40
Ho1 0.8976 0.8976 0.3073  3 Ru 2.77
Ho2 0.1024 0.1024 0.6927  3 Ru 2.77
Ru1 0.5000 0.5000 0.5000  6 Ho 2.77

formation energy from the elements: 0.182 eV per atom
magnetization: 0.00 μB/cell



LaDy7: relaxed, PBE-GGA.

abc: 7.1267 7.1267 7.1267
angles: 60.00 60.00 60.00
Closest atoms and distances in Å follow each position.
Atoms (fractional coordinates):
Dy1 0.5000 0.5000 0.0000  10 Dy 3.56, 2 La 3.56
Dy2 0.0000 0.5000 0.5000  2 La 3.56, 10 Dy 3.56
La1 0.0000 0.0000 0.0000  12 Dy 3.56
Dy3 0.5000 0.5000 0.5000  12 Dy 3.56
Dy4 0.5000 0.0000 0.0000  10 Dy 3.56, 2 La 3.56
Dy5 0.0000 0.5000 0.0000  10 Dy 3.56, 2 La 3.56
Dy6 0.5000 0.0000 0.5000  10 Dy 3.56, 2 La 3.56
Dy7 0.0000 0.0000 0.5000  10 Dy 3.56, 2 La 3.56

formation energy from the elements: 0.017 eV per atom
magnetization: 0.00 μB/cell



Fe3Co3Pt2: relaxed, PBE-GGA.

abc: 3.7182 3.7097 7.3666
angles: 90.00 90.00 90.00
Closest atoms and distances in Å follow each position.
Atoms (fractional coordinates):
Pt1 0.0000 0.0000 0.7513  6 Fe 2.61-2.62, 6 Co 2.61-2.63
Co1 0.5000 0.0000 0.0000  4 Co 2.59, 4 Pt 2.61, 4 Fe 2.63
Fe1 0.0000 0.5000 0.5000  4 Pt 2.62, 4 Fe 2.63, 4 Co 2.64
Fe2 0.5000 0.0000 0.5000  4 Pt 2.62, 4 Fe 2.63, 4 Co 2.64
Fe3 0.0000 0.5000 0.0000  8 Co 2.59-2.63, 4 Pt 2.61
Co2 0.5000 0.5000 0.2451  2 Co 2.59, 6 Fe 2.59-2.64, 4 Pt 2.63
Pt2 0.0000 0.0000 0.2487  6 Fe 2.61-2.62, 6 Co 2.61-2.63
Co3 0.5000 0.5000 0.7549  2 Co 2.59, 6 Fe 2.59-2.64, 4 Pt 2.63

formation energy from the elements: -0.104 eV per atom
magnetization: 14.49 μB/cell